# Nb3VGa

Nb3VGa after structural relaxation (PBE, Alexandria).

Calculated values
Space-group type ... C2/c (15)
Energy of formation ... 0.010 eV/atom

Unit cell a=8.604 b=6.878 c=6.878 alpha=77.62 beta=66.68 gamma=66.68
Element x y z (fractional)
1 Nb 0.443 0.041 0.333
2 Nb 0.943 0.333 0.041
3 Nb 0.582 0.725 0.057
4 Nb 0.082 0.057 0.725
5 Nb 0.557 0.959 0.667
6 Nb 0.077 0.324 0.353
7 Nb 0.418 0.275 0.943
8 Nb 0.057 0.667 0.959
9 Nb 0.577 0.353 0.324
10 Nb 0.923 0.676 0.647
11 Nb 0.918 0.943 0.275
12 Nb 0.423 0.647 0.676
13 V 0.295 0.554 0.192
14 V 0.795 0.192 0.554
15 V 0.705 0.446 0.808
16 V 0.205 0.808 0.446
17 Ga 0.250 0.372 0.628
18 Ga 0.750 0.036 0.964
19 Ga 0.250 0.964 0.036
20 Ga 0.750 0.628 0.372